1.
{
  "formula": "LiV2Fe",
  "functional": "PBE",
  "state": "optimized geometry",
  "e_form_ev_per_atom": 0.52,
  "polymorph_energy_mev_per_atom": 298,
  "cell": [[-1.999, -2.133, 5.779], [6.121, -0.005, 2.116], [1.793, 1.301, 4.730]],
  "species": ["V", "V", "V", "V", "Fe", "Fe", "Li", "Li"],
  "frac_coords": [[0.659, 0.125, 0.250], [0.091, 0.625, 0.250], [0.375, 0.341, 0.750], [0.875, 0.909, 0.750], [0.000, 0.000, 0.000], [0.750, 0.250, 0.500], [0.500, 0.500, 0.000], [0.250, 0.750, 0.500]]
}

=====

2.
{
  "formula": "Li2VFe",
  "functional": "PBE",
  "state": "optimized geometry",
  "e_form_ev_per_atom": 0.77,
  "polymorph_energy_mev_per_atom": 115,
  "cell": [[-0.852, -1.218, 6.694], [5.537, -4.044, -0.032], [3.635, -0.866, 3.817]],
  "species": ["V", "V", "Fe", "Fe", "Li", "Li", "Li", "Li"],
  "frac_coords": [[0.500, 0.500, 0.000], [0.250, 0.750, 0.500], [0.000, 0.000, 0.000], [0.750, 0.250, 0.500], [0.640, 0.125, 0.250], [0.110, 0.625, 0.250], [0.375, 0.360, 0.750], [0.875, 0.890, 0.750]]
}

=====

3.
{
  "formula": "LiV2Fe",
  "functional": "PBE",
  "state": "optimized geometry",
  "e_form_ev_per_atom": 0.31,
  "polymorph_energy_mev_per_atom": 82,
  "cell": [[-1.183, -1.309, -1.861], [-0.678, -2.443, 0.383], [-8.852, 1.547, 2.775]],
  "species": ["Li", "Fe", "V", "V"],
  "frac_coords": [[0.000, 0.000, 0.000], [0.500, 0.500, 0.500], [0.093, 0.093, 0.720], [0.907, 0.907, 0.280]]
}